#1
Computed, not measured: a relaxed structure of Nd3YGa2 at the PBE level of DFT.

Summary:
Its magnetization is 0.00 μB/cell. The symmetry is C2/m (12).

Cell: 4.5666 10.1717 9.3386 Å, 124.67 90.00 102.97°
Atoms (fractional coordinates):
Nd  0.6511  0.3021  0.8243
Y  0.1163  0.2327  0.0939
Nd  0.3489  0.6979  0.1757
Ga  0.2345  0.4689  0.7528
Nd  0.0445  0.0890  0.4006
Y  0.8837  0.7673  0.9061
Ga  0.5047  0.0095  0.8677
Ga  0.7655  0.5311  0.2472
Nd  0.6801  0.3602  0.4307
Nd  0.3199  0.6398  0.5693
Ga  0.4953  0.9905  0.1323
Nd  0.9555  0.9110  0.5994

---

#2
Computed, not measured: a relaxed structure of Nd3YGa2 at the PBE level of DFT.

Summary:
Its magnetization is 0.00 μB/cell. The symmetry is Pmc2_1 (26).

Cell: 5.1438 6.6944 9.6934 Å, 90.00 90.00 90.00°
Atoms (fractional coordinates):
Ga  0.5000  0.2088  0.1497
Ga  0.5000  0.7088  0.8503
Nd  0.0000  0.4797  0.9501
Nd  0.0000  0.8165  0.6670
Nd  0.5000  0.1831  0.8249
Y  0.5000  0.0178  0.4452
Ga  0.0000  0.7941  0.3527
Nd  0.5000  0.6831  0.1751
Nd  0.0000  0.9797  0.0499
Y  0.5000  0.5178  0.5548
Ga  0.0000  0.2941  0.6473
Nd  0.0000  0.3165  0.3330

---

Order of stability, best first: #2, #1

---

#1
Computed, not measured: a relaxed structure of NdYGa at the PBE level of DFT.

Summary:
Its magnetization is 0.00 μB/cell. The symmetry is P3m1 (156).

Cell: 3.7878 5.0293 5.0293 Å, 120.00 90.00 90.00°
Atoms (fractional coordinates):
Nd  0.6251  0.3333  0.6667
Y  0.0852  0.0000  0.0000
Ga  0.2897  0.6667  0.3333

---

#2
Computed, not measured: a relaxed structure of NdYGa at the PBE level of DFT.

Summary:
Its magnetization is 0.00 μB/cell. The symmetry is P6_3/mmc (194).

Cell: 5.2966 5.2966 6.6226 Å, 90.00 90.00 119.97°
Atoms (fractional coordinates):
Nd  0.0000  0.5000  0.5000
Y  0.3334  0.1666  0.2500
Ga  0.3332  0.1668  0.7500
Y  0.6666  0.8334  0.7500
Nd  0.0000  0.5000  0.0000
Ga  0.6668  0.8332  0.2500

---

#3
Computed, not measured: a relaxed structure of NdYGa at the PBE level of DFT.

Summary:
Its magnetization is 0.00 μB/cell. The symmetry is P-1 (2).

Cell: 3.7450 5.3177 8.5401 Å, 90.01 102.62 90.00°
Atoms (fractional coordinates):
Ga  0.5115  0.5248  0.7091
Y  0.1526  0.5254  0.9915
Y  0.7075  0.0255  0.1015
Nd  0.8547  0.5258  0.3964
Ga  0.3486  0.0260  0.3839
Nd  0.0054  0.0251  0.6966

---

Order of stability, best first: #3, #2, #1

---

#1
Computed, not measured: a relaxed structure of NdYGa at the PBE level of DFT.

Summary:
Its magnetization is 0.00 μB/cell. The symmetry is I4mm (107).

Cell: 3.5341 3.5341 7.1464 Å, 104.32 104.32 90.00°
Atoms (fractional coordinates):
Nd  0.5958  0.5958  0.1915
Ga  0.9456  0.9456  0.8913
Y  0.3086  0.3086  0.6172

---

#2
Computed, not measured: a relaxed structure of NdYGa at the PBE level of DFT.

Summary:
Its magnetization is 0.00 μB/cell. The symmetry is F-43m (216).

Cell: 5.0488 5.0488 5.0488 Å, 60.00 60.00 60.00°
Atoms (fractional coordinates):
Nd  0.0000  0.0000  0.0000
Y  0.5000  0.5000  0.5000
Ga  0.2500  0.2500  0.2500

---

#3
Computed, not measured: a relaxed structure of NdYGa at the PBE level of DFT.

Summary:
Its magnetization is 0.00 μB/cell. The symmetry is Cm (8).

Cell: 5.0364 7.2319 6.3787 Å, 127.83 90.00 110.38°
Atoms (fractional coordinates):
Y  0.9063  0.8125  0.8234
Ga  0.6560  0.3121  0.8462
Nd  0.0069  0.0139  0.4597
Nd  0.5990  0.1981  0.2413
Ga  0.2997  0.5995  0.8330
Y  0.2886  0.5772  0.3030

---

Order of stability, best first: #1, #2, #3

---

#1
Computed, not measured: a relaxed structure of Nd2YGa6 at the PBE level of DFT.

Summary:
Its magnetization is 0.00 μB/cell. The symmetry is Immm (71).

Cell: 4.3957 7.1187 7.9943 Å, 116.44 105.96 90.00°
Atoms (fractional coordinates):
Ga  0.3227  0.1356  0.6453
Nd  0.1302  0.1302  0.2603
Ga  0.6773  0.8644  0.3547
Ga  0.6773  0.4903  0.3547
Nd  0.8698  0.8698  0.7397
Y  0.0000  0.5000  0.0000
Ga  0.3227  0.5097  0.6453
Ga  0.5000  0.8083  0.0000
Ga  0.5000  0.1917  0.0000

---

#2
Computed, not measured: a relaxed structure of Nd2YGa6 at the PBE level of DFT.

Summary:
Its magnetization is 0.00 μB/cell. The symmetry is P6/mmm (191).

Cell: 4.2554 7.3687 7.3687 Å, 120.00 90.00 90.00°
Atoms (fractional coordinates):
Y  0.0000  0.0000  0.0000
Ga  0.5000  0.3321  0.3321
Ga  0.5000  0.3321  0.0000
Ga  0.5000  0.0000  0.3321
Nd  0.0000  0.6667  0.3333
Nd  0.0000  0.3333  0.6667
Ga  0.5000  0.6679  0.0000
Ga  0.5000  0.0000  0.6679
Ga  0.5000  0.6679  0.6679

---

Order of stability, best first: #2, #1

---

#1
Computed, not measured: a relaxed structure of Nd2ZnGa at the PBE level of DFT.

Summary:
Its magnetization is 0.00 μB/cell. The symmetry is Fm-3m (225).

Cell: 5.2262 5.2262 5.2262 Å, 60.00 60.00 60.00°
Atoms (fractional coordinates):
Nd  0.2500  0.2500  0.2500
Ga  0.5000  0.5000  0.5000
Nd  0.7500  0.7500  0.7500
Zn  0.0000  0.0000  0.0000

---

#2
Computed, not measured: a relaxed structure of Nd2ZnGa at the PBE level of DFT.

Summary:
Its magnetization is 0.00 μB/cell. The symmetry is P4/mmm (123).

Cell: 3.6876 5.2276 5.2276 Å, 90.00 90.00 90.00°
Atoms (fractional coordinates):
Ga  0.5000  0.0000  0.0000
Zn  0.5000  0.5000  0.5000
Nd  0.0000  0.5000  0.0000
Nd  0.0000  0.0000  0.5000

---

Order of stability, best first: #1, #2

---

#1
Computed, not measured: a relaxed structure of Nd8Zn2Ga at the PBE level of DFT.

Summary:
Its magnetization is 0.00 μB/cell. The symmetry is C2/m (12).

Cell: 5.2081 7.2771 9.5452 Å, 109.18 105.83 90.00°
Atoms (fractional coordinates):
Nd  0.8029  0.6869  0.6057
Zn  0.1773  0.7033  0.3546
Nd  0.1971  0.3131  0.3943
Nd  0.3303  0.0219  0.6607
Ga  0.5000  0.0000  0.0000
Nd  0.0236  0.7752  0.0471
Nd  0.6697  0.9781  0.3393
Nd  0.9764  0.2248  0.9529
Nd  0.5909  0.4614  0.1817
Zn  0.8227  0.2967  0.6454
Nd  0.4091  0.5386  0.8183

---

#2
Computed, not measured: a relaxed structure of Nd8Zn2Ga at the PBE level of DFT.

Summary:
Its magnetization is 0.00 μB/cell. The symmetry is Immm (71).

Cell: 5.0841 8.5657 8.9299 Å, 118.66 106.54 90.00°
Atoms (fractional coordinates):
Nd  0.3390  0.5640  0.6779
Nd  0.8651  0.8651  0.7303
Nd  0.3390  0.1139  0.6780
Zn  0.1938  0.6938  0.3876
Nd  0.1349  0.1349  0.2697
Nd  0.0000  0.3183  0.0000
Ga  0.5000  0.0000  0.0000
Nd  0.6610  0.8861  0.3220
Nd  0.0000  0.6817  0.0000
Nd  0.6610  0.4360  0.3221
Zn  0.8062  0.3062  0.6124

---

Order of stability, best first: #1, #2

---

#1
Computed, not measured: a relaxed structure of NdZr2Ga6 at the PBE level of DFT.

Summary:
Its magnetization is 0.00 μB/cell. The symmetry is Immm (71).

Cell: 4.2036 7.5828 7.5828 Å, 54.40 73.91 73.91°
Atoms (fractional coordinates):
Ga  0.5000  0.6809  0.3191
Ga  0.6905  0.0171  0.6019
Ga  0.5000  0.3191  0.6809
Nd  0.0000  0.0000  0.0000
Zr  0.1210  0.3790  0.3790
Ga  0.6905  0.6019  0.0171
Ga  0.3095  0.9829  0.3981
Zr  0.8790  0.6210  0.6210
Ga  0.3095  0.3981  0.9829

---

#2
Computed, not measured: a relaxed structure of NdZr2Ga6 at the PBE level of DFT.

Summary:
Its magnetization is 0.00 μB/cell. The symmetry is P6/mmm (191).

Cell: 3.8534 7.2413 7.2413 Å, 120.00 90.00 90.00°
Atoms (fractional coordinates):
Zr  0.0000  0.6667  0.3333
Ga  0.5000  0.3372  0.3372
Zr  0.0000  0.3333  0.6667
Ga  0.5000  0.0000  0.6628
Ga  0.5000  0.3372  0.0000
Ga  0.5000  0.6628  0.0000
Ga  0.5000  0.0000  0.3372
Nd  0.0000  0.0000  0.0000
Ga  0.5000  0.6628  0.6628

---

Order of stability, best first: #2, #1

---

#1
Computed, not measured: a relaxed structure of NdZrGa4 at the PBE level of DFT.

Summary:
Its magnetization is 0.00 μB/cell. The symmetry is Immm (71).

Cell: 4.1902 5.7794 5.7794 Å, 78.50 68.75 68.75°
Atoms (fractional coordinates):
Nd  0.0000  0.0000  0.0000
Ga  0.7565  0.9089  0.5780
Zr  0.5000  0.5000  0.5000
Ga  0.2435  0.0911  0.4220
Ga  0.2435  0.4220  0.0911
Ga  0.7565  0.5780  0.9089

---

#2
Computed, not measured: a relaxed structure of NdZrGa4 at the PBE level of DFT.

Summary:
Its magnetization is 0.00 μB/cell. The symmetry is F-43m (216).

Cell: 5.4677 5.4677 5.4677 Å, 60.00 60.00 60.00°
Atoms (fractional coordinates):
Ga  0.6246  0.1263  0.6246
Zr  0.2500  0.2500  0.2500
Nd  0.0000  0.0000  0.0000
Ga  0.1263  0.6246  0.6246
Ga  0.6246  0.6246  0.1263
Ga  0.6246  0.6246  0.6246

---

#3
Computed, not measured: a relaxed structure of NdZrGa4 at the PBE level of DFT.

Summary:
Its magnetization is 0.00 μB/cell. The symmetry is Pbam (55).

Cell: 3.9021 8.2736 15.6959 Å, 90.00 90.00 90.00°
Atoms (fractional coordinates):
Ga  0.5000  0.6221  0.9470
Zr  0.0000  0.3730  0.9180
Ga  0.5000  0.2070  0.8111
Ga  0.5000  0.2930  0.3111
Ga  0.5000  0.0111  0.6991
Zr  0.0000  0.6270  0.0820
Zr  0.0000  0.8730  0.5820
Ga  0.5000  0.6289  0.5340
Nd  0.0000  0.8806  0.8524
Nd  0.0000  0.6194  0.3524
Ga  0.5000  0.8711  0.0340
Ga  0.5000  0.1221  0.5530
Ga  0.5000  0.3779  0.0530
Nd  0.0000  0.3806  0.6476
Nd  0.0000  0.1194  0.1476
Ga  0.5000  0.7070  0.6889
Ga  0.5000  0.5111  0.8009
Ga  0.5000  0.8779  0.4470
Ga  0.5000  0.3711  0.4660
Ga  0.5000  0.9889  0.3009
Zr  0.0000  0.1270  0.4180
Ga  0.5000  0.1289  0.9660
Ga  0.5000  0.7930  0.1889
Ga  0.5000  0.4889  0.1991

---

Order of stability, best first: #1, #3, #2